# 1
{"formula": "Np2SbAs", "functional": "PBE", "state": "relaxed", "spacegroup": "P-3m1 (164)", "total_energy_ev_per_cell": -36.12, "cell": [[4.0340, 0.0000, 0.0000], [2.0170, 3.4936, 0.0001], [0.0000, -0.0002, 7.6138]], "species": ["Sb", "Np", "Np", "As"], "frac_coords": [[0.0000, 0.0000, 0.5000], [0.3333, 0.3333, 0.7695], [0.6667, 0.6667, 0.2305], [0.0000, 0.0000, 0.0000]]}

***

# 2
{"formula": "NpScAs", "functional": "PBE", "state": "relaxed", "spacegroup": "F-43m (216)", "total_energy_ev_per_cell": -24.74, "delta_e_f_ev_per_fu": -0.822, "cell": [[-4.0631, 2.3614, -0.1851], [-3.8624, -1.8067, 1.9842], [-1.7701, 1.9433, 3.8978]], "species": ["As", "Sc", "Np"], "frac_coords": [[0.3284, 0.3284, 0.0147], [0.5785, 0.5785, 0.2644], [0.0784, 0.0784, 0.7648]]}

***

no.,magnetic moment (μB per formula unit)
1,8.0
2,5.6